## NbV2AgO8 (PBE with a Hubbard U)

Data for a geometry-optimized NbV2AgO8 structure.

Computed properties:
D(E_F), states/eV/f.u.: 2.0
Space group: I-4m2, No. 119
Total DFT energy (no corrections), eV/cell: -87.89

abc: 5.849 5.849 5.849
angles: 105.50 105.50 117.74
Atoms (fractional coordinates):
Nb (0.000, 0.000, 0.000)
V (0.250, 0.750, 0.500)
V (0.500, 0.500, 0.000)
Ag (0.750, 0.250, 0.500)
O (0.098, 0.386, 0.288)
O (0.098, 0.810, 0.712)
O (0.121, 0.297, 0.824)
O (0.190, 0.902, 0.288)
O (0.473, 0.297, 0.176)
O (0.614, 0.902, 0.712)
O (0.703, 0.527, 0.824)
O (0.703, 0.879, 0.176)